1.
The following is a DFT calculation (GGA-PBE) of a relaxed structure of Ba2HoI.

a = 12.849 Å, b = 12.849 Å, c = 12.849 Å
α = 18.05°, β = 18.05°, γ = 18.05°
Fractional positions:
Ba 0.096 0.096 0.096
Ba 0.904 0.904 0.904
Ho 0.000 0.000 0.000
I 0.500 0.500 0.500

Calculated values
Symmetry: R-3m
Total magnetic moment: 0.002 μB/f.u.

---

2.
The following is a DFT calculation (GGA-PBE) of a relaxed structure of BaHoInI6.

a = 8.415 Å, b = 8.415 Å, c = 14.708 Å
α = 90.00°, β = 90.00°, γ = 120.00°
Fractional positions:
Ba 0.333 0.667 0.250
Ba 0.667 0.333 0.750
Ho 0.333 0.667 0.750
Ho 0.667 0.333 0.250
In 0.000 0.000 0.000
In 0.000 0.000 0.500
I 0.039 0.375 0.629
I 0.039 0.665 0.871
I 0.335 0.375 0.871
I 0.335 0.961 0.629
I 0.375 0.039 0.129
I 0.375 0.335 0.371
I 0.625 0.665 0.629
I 0.625 0.961 0.871
I 0.665 0.039 0.371
I 0.665 0.625 0.129
I 0.961 0.335 0.129
I 0.961 0.625 0.371

Calculated values
Symmetry: P-31c
Total magnetic moment: 0.000 μB/f.u.

---

no.,formation energy without anion corrections (eV/atom),final energy (eV per atom)
1,-0.20,-2.695
2,-1.30,-3.358